No. 1
# ScGaCu6 | the Alexandria database | PBE | optimized geometry
data_ScGaCu6
_cell_length_a 4.784
_cell_length_b 4.784
_cell_length_c 4.784
_cell_angle_alpha 90.00
_cell_angle_beta 90.00
_cell_angle_gamma 90.00
_space_group_name_H-M_alt 'P m -3'
_space_group_IT_number 200
_space_group_name_Hall '-P 2 2 3'
loop_
_atom_site_label
_atom_site_type_symbol
_atom_site_fract_x
_atom_site_fract_y
_atom_site_fract_z
Sc1 Sc 0.000 0.000 0.000
Ga1 Ga 0.500 0.500 0.500
Cu1 Cu 0.000 0.254 0.500
# ΔH_f (0 K): -72.6 meV/atom
# Total magnetization: 0.00 μB/f.u.
# Crystal system: cubic
# V: 13.69 A^3/atom



No. 2
# HOsRu2W | the Alexandria database | PBE | optimized geometry
data_HOsRu2W
_cell_length_a 3.912
_cell_length_b 3.912
_cell_length_c 3.923
_cell_angle_alpha 90.00
_cell_angle_beta 90.00
_cell_angle_gamma 90.00
_space_group_name_H-M_alt 'P 4/m m m'
_space_group_IT_number 123
_space_group_name_Hall '-P 4 2'
loop_
_atom_site_label
_atom_site_type_symbol
_atom_site_fract_x
_atom_site_fract_y
_atom_site_fract_z
H1 H 0.000 0.000 0.000
Os1 Os 0.000 0.000 0.500
Ru1 Ru 0.000 0.500 0.000
W1 W 0.500 0.500 0.500
# Total magnetization: 0.00 μB/f.u.
# Crystal system: tetragonal
# V: 12.01 A^3/atom
# Energy above the lowest structure with this stoichiometry: 0.0 meV/atom



No. 3
# EuTlCuRh | the Alexandria database | PBE | optimized geometry
data_EuTlCuRh
_cell_length_a 6.869
_cell_length_b 6.869
_cell_length_c 6.869
_cell_angle_alpha 90.00
_cell_angle_beta 90.00
_cell_angle_gamma 90.00
_space_group_name_H-M_alt 'F -4 3 m'
_space_group_IT_number 216
_space_group_name_Hall 'F -4 2 3'
loop_
_atom_site_label
_atom_site_type_symbol
_atom_site_fract_x
_atom_site_fract_y
_atom_site_fract_z
Eu1 Eu 0.000 0.000 0.000
Tl1 Tl 0.000 0.000 0.500
Cu1 Cu 0.250 0.250 0.250
Rh1 Rh 0.250 0.250 0.750
# ΔH_f (0 K): -80.3 meV/atom
# Total magnetization: 6.82 μB/f.u.
# Crystal system: cubic
# V: 20.26 A^3/atom



No. 4
# KCuNiC | the Alexandria database | PBE | optimized geometry
data_KCuNiC
_cell_length_a 3.618
_cell_length_b 3.783
_cell_length_c 6.113
_cell_angle_alpha 106.74
_cell_angle_beta 105.65
_cell_angle_gamma 93.97
_space_group_name_H-M_alt 'P 1'
_space_group_IT_number 1
loop_
_space_group_symop_operation_xyz
'x,y,z'
loop_
_atom_site_label
_atom_site_type_symbol
_atom_site_fract_x
_atom_site_fract_y
_atom_site_fract_z
K1 K 0.000 0.000 0.000
Cu1 Cu 0.744 0.246 0.495
Ni1 Ni 0.236 0.737 0.478
C1 C 0.723 0.724 0.450
# ΔH_f (0 K): 386.1 meV/atom
# Total magnetization: 0.00 μB/f.u.
# Crystal system: triclinic
# V: 19.04 A^3/atom
# Energy above the lowest structure with this stoichiometry: 0.0 meV/atom



No. 5
# Tl3HgSe2 | the Alexandria database | PBE | optimized geometry
data_Tl3HgSe2
_cell_length_a 13.497
_cell_length_b 4.352
_cell_length_c 13.565
_cell_angle_alpha 90.00
_cell_angle_beta 111.68
_cell_angle_gamma 90.00
_space_group_name_H-M_alt 'C 1 2/m 1'
_space_group_IT_number 12
loop_
_space_group_symop_operation_xyz
'x,y,z'
'-x,-y,-z'
'-x,y,-z'
'x,-y,z'
'x+1/2,y+1/2,z'
'-x+1/2,-y+1/2,-z'
'-x+1/2,y+1/2,-z'
'x+1/2,-y+1/2,z'
loop_
_atom_site_label
_atom_site_type_symbol
_atom_site_fract_x
_atom_site_fract_y
_atom_site_fract_z
Tl1 Tl 0.124 0.000 0.230
Tl2 Tl 0.136 0.500 0.028
Tl3 Tl 0.140 0.000 0.550
Hg1 Hg 0.118 0.500 0.717
Se1 Se 0.122 0.500 0.381
Se2 Se 0.123 0.000 0.870
# Total magnetization: 0.00 μB/f.u.
# Crystal system: monoclinic
# V: 30.85 A^3/atom
# E_form (uncorrected): -267 meV/atom
# Energy above the lowest structure with this stoichiometry: 0.0 meV/atom



No. 6
# PrNpBiO6 | the Alexandria database | PBE | optimized geometry
data_PrNpBiO6
_cell_length_a 5.9811
_cell_length_b 5.9811
_cell_length_c 9.3732
_cell_angle_alpha 90.00
_cell_angle_beta 90.00
_cell_angle_gamma 120.00
_space_group_name_H-M_alt 'P -3 1 c'
_space_group_IT_number 163
_space_group_name_Hall '-P 3 2c'
loop_
_atom_site_label
_atom_site_type_symbol
_atom_site_fract_x
_atom_site_fract_y
_atom_site_fract_z
Pr1 Pr 0.3333 0.6667 0.2500
Np1 Np 0.3333 0.6667 0.7500
Bi1 Bi 0.0000 0.0000 0.0000
O1 O 0.0404 0.3676 0.6326
# Total magnetization: 1.00 μB/f.u.
# Crystal system: trigonal
# V: 16.13 A^3/atom
# E_form (uncorrected): -2473 meV/atom



No. 7
# Sc4NO3 | the Alexandria database | PBE | optimized geometry
data_Sc4NO3
_cell_length_a 4.483
_cell_length_b 4.483
_cell_length_c 4.483
_cell_angle_alpha 90.00
_cell_angle_beta 90.00
_cell_angle_gamma 90.00
_space_group_name_H-M_alt 'P m -3 m'
_space_group_IT_number 221
_space_group_name_Hall '-P 4 2 3'
loop_
_atom_site_label
_atom_site_type_symbol
_atom_site_fract_x
_atom_site_fract_y
_atom_site_fract_z
Sc1 Sc 0.000 0.000 0.000
Sc2 Sc 0.000 0.500 0.500
N1 N 0.500 0.500 0.500
O1 O 0.000 0.000 0.500
# Total magnetization: 0.00 μB/f.u.
# Crystal system: cubic
# V: 11.26 A^3/atom
# E_form (uncorrected): -2709 meV/atom



No. 8
# ThZn2Pt4 | the Alexandria database | PBE | optimized geometry
data_ThZn2Pt4
_cell_length_a 6.802
_cell_length_b 6.802
_cell_length_c 5.353
_cell_angle_alpha 90.00
_cell_angle_beta 90.00
_cell_angle_gamma 90.00
_space_group_name_H-M_alt 'I 4/m m m'
_space_group_IT_number 139
_space_group_name_Hall '-I 4 2'
loop_
_atom_site_label
_atom_site_type_symbol
_atom_site_fract_x
_atom_site_fract_y
_atom_site_fract_z
Th1 Th 0.000 0.000 0.000
Zn1 Zn 0.000 0.500 0.250
Pt1 Pt 0.204 0.204 0.500
# ΔH_f (0 K): -784.9 meV/atom
# Total magnetization: 0.00 μB/f.u.
# Crystal system: tetragonal
# V: 17.69 A^3/atom



| no. | calculated total energy (eV per atom) |
| --- | --- |
| 1 | -4.314 |
| 2 | -9.221 |
| 3 | -6.102 |
| 4 | -4.664 |
| 5 | -2.662 |
| 6 | -8.179 |
| 7 | -8.775 |
| 8 | -5.661 |